1.
The following is a DFT calculation (PBE) of a geometry-optimized Rb2LiF structure.

a b c (Å): 7.996 7.996 7.996
angles (deg): 116.82 116.82 95.60
Positions (direct):
Rb: 0.375 0.009 0.134
Rb: 0.759 0.625 0.634
Rb: 0.875 0.241 0.866
Rb: 0.991 0.125 0.366
Li: 0.250 0.750 0.500
Li: 0.500 0.500 0.000
F: 0.000 0.000 0.000
F: 0.750 0.250 0.500

Summary:
Raw formation energy (eV/atom): -1.140
Total magnetic moment (μB/atom): 0.000
Raw total energy (eV per atom): -2.570
V (Å³ per cell): 376.9
DOS at the Fermi energy (states/eV per atom): 0.394
Relative energy among the computed polymorphs (eV/atom): 0.000


2.
The following is a DFT calculation (PBE) of a geometry-optimized ScGaPd14 structure.

a b c (Å): 5.638 5.638 7.797
angles (deg): 90.00 90.00 90.00
Positions (direct):
Sc: 0.000 0.000 0.000
Ga: 0.500 0.500 0.000
Pd: 0.000 0.000 0.500
Pd: 0.000 0.500 0.000
Pd: 0.000 0.500 0.500
Pd: 0.252 0.252 0.246
Pd: 0.252 0.252 0.754
Pd: 0.252 0.748 0.246
Pd: 0.252 0.748 0.754
Pd: 0.500 0.000 0.000
Pd: 0.500 0.000 0.500
Pd: 0.500 0.500 0.500
Pd: 0.748 0.252 0.246
Pd: 0.748 0.252 0.754
Pd: 0.748 0.748 0.246
Pd: 0.748 0.748 0.754

Summary:
Total magnetic moment (μB/atom): 0.000
ΔE_f (eV/atom): -0.317
Raw total energy (eV per atom): -5.445
V (Å³ per cell): 247.8
DOS at the Fermi energy (states/eV per atom): 1.576


3.
The following is a DFT calculation (PBE) of a geometry-optimized Fe4Ir12Rh3 structure.

a b c (Å): 7.916 7.916 7.916
angles (deg): 109.47 109.47 109.47
Positions (direct):
Fe: 0.000 0.000 0.500
Fe: 0.000 0.500 0.000
Fe: 0.500 0.000 0.000
Fe: 0.500 0.500 0.500
Ir: 0.096 0.359 0.737
Ir: 0.263 0.623 0.359
Ir: 0.263 0.904 0.641
Ir: 0.359 0.263 0.623
Ir: 0.359 0.737 0.096
Ir: 0.377 0.641 0.737
Ir: 0.623 0.359 0.263
Ir: 0.641 0.263 0.904
Ir: 0.641 0.737 0.377
Ir: 0.737 0.096 0.359
Ir: 0.737 0.377 0.641
Ir: 0.904 0.641 0.263
Rh: 0.000 0.500 0.500
Rh: 0.500 0.000 0.500
Rh: 0.500 0.500 0.000

Summary:
Total magnetic moment (μB/atom): 0.411
ΔE_f (eV/atom): 0.710
Raw total energy (eV per atom): -7.829
V (Å³ per cell): 381.9
DOS at the Fermi energy (states/eV per atom): 0.984


4.
The following is a DFT calculation (PBE) of a geometry-optimized LiReBr2N structure.

a b c (Å): 4.696 4.696 3.477
angles (deg): 90.00 90.00 90.00
Positions (direct):
Li: 0.000 0.000 0.000
Re: 0.500 0.500 0.000
Br: 0.000 0.500 0.500
Br: 0.500 0.000 0.500
N: 0.000 0.000 0.500

Summary:
Raw formation energy (eV/atom): 1.433
Total magnetic moment (μB/atom): 0.000
Raw total energy (eV per atom): -3.773
V (Å³ per cell): 76.7
DOS at the Fermi energy (states/eV per atom): 0.875


5.
The following is a DFT calculation (PBE) of a geometry-optimized Cs2Na4Te structure.

a b c (Å): 13.378 13.378 13.378
angles (deg): 153.99 153.99 37.11
Positions (direct):
Cs: 0.187 0.187 0.000
Cs: 0.813 0.813 0.000
Na: 0.000 0.500 0.500
Na: 0.377 0.377 0.000
Na: 0.500 0.000 0.500
Na: 0.623 0.623 0.000
Te: 0.500 0.500 0.000

Summary:
Raw formation energy (eV/atom): -0.246
Total magnetic moment (μB/atom): 0.000
Raw total energy (eV per atom): -1.692
V (Å³ per cell): 459.7
DOS at the Fermi energy (states/eV per atom): 0.711


6.
The following is a DFT calculation (PBE) of a geometry-optimized BaVTc3 structure.

a b c (Å): 4.723 4.723 4.723
angles (deg): 90.00 90.00 90.00
Positions (direct):
Ba: 0.000 0.000 0.000
V: 0.500 0.500 0.500
Tc: 0.000 0.500 0.500
Tc: 0.500 0.000 0.500
Tc: 0.500 0.500 0.000

Summary:
Total magnetic moment (μB/atom): 0.578
ΔE_f (eV/atom): 1.074
Raw total energy (eV per atom): -7.354
V (Å³ per cell): 105.4
DOS at the Fermi energy (states/eV per atom): 1.312
Relative energy among the computed polymorphs (eV/atom): 0.000


7.
The following is a DFT calculation (PBE) of a geometry-optimized CaNdErAg structure.

a b c (Å): 3.595 3.595 9.356
angles (deg): 90.00 90.00 90.00
Positions (direct):
Ca: 0.000 0.000 0.000
Nd: 0.500 0.500 0.326
Er: 0.000 0.000 0.598
Ag: 0.500 0.500 0.782

Summary:
Total magnetic moment (μB/atom): 0.000
ΔE_f (eV/atom): -0.133
Raw total energy (eV per atom): -3.679
V (Å³ per cell): 120.9
DOS at the Fermi energy (states/eV per atom): 1.158


8.
The following is a DFT calculation (PBE) of a geometry-optimized CdNi2OsN structure.

a b c (Å): 4.008 4.008 3.903
angles (deg): 90.00 90.00 90.00
Positions (direct):
Cd: 0.000 0.000 0.000
Ni: 0.000 0.500 0.500
Ni: 0.500 0.000 0.500
Os: 0.500 0.500 0.000
N: 0.500 0.500 0.500

Summary:
Raw formation energy (eV/atom): 0.189
Total magnetic moment (μB/atom): 0.000
Raw total energy (eV per atom): -6.218
V (Å³ per cell): 62.7
DOS at the Fermi energy (states/eV per atom): 0.392